1) An optimized crystal structure of TaBe2Pt, computed with PBE-GGA.

Cell lengths 2.7933, 2.7933, 6.3612 Å; angles 90.00, 90.00, 90.00 degrees
Atoms (fractional coordinates):
1 Be 0.0000 0.0000 0.0502
2 Be 0.5000 0.5000 0.2258
3 Pt 0.0000 0.0000 0.4448
4 Ta 0.5000 0.5000 0.7792

Calculated values
**Crystal system**: tetragonal
**DOS at the Fermi energy**: 1.9 states/eV/f.u.
**V**: 12.4 A^3/atom

***

2) An optimized crystal structure of TaBe2Pt, computed with PBE-GGA.

Cell lengths 6.4168, 6.4168, 5.2511 Å; angles 52.34, 52.34, 90.00 degrees
Atoms (fractional coordinates):
1 Be 0.6549 0.1250 0.2500
2 Be 0.0951 0.6250 0.2500
3 Be 0.3750 0.3451 0.7500
4 Be 0.8750 0.9049 0.7500
5 Pt 0.0000 0.0000 0.0000
6 Pt 0.7500 0.2500 0.5000
7 Ta 0.5000 0.5000 0.0000
8 Ta 0.2500 0.7500 0.5000

Calculated values
**Crystal system**: tetragonal
**DOS at the Fermi energy**: 2.0 states/eV/f.u.
**V**: 13.6 A^3/atom

***

Which one is most stable, and which one is least stable? 1) is the most stable of them, while 2) is the least stable.

***

1) An optimized crystal structure of TaBe2Pt, computed with PBE-GGA.

Cell lengths 4.0339, 4.0339, 5.0963 Å; angles 79.21, 79.21, 40.23 degrees
Atoms (fractional coordinates):
1 Be 0.9920 0.9920 0.0583
2 Be 0.5080 0.5080 0.4417
3 Pt 0.2500 0.2500 0.2500
4 Ta 0.7500 0.7500 0.7500

Calculated values
**Crystal system**: monoclinic
**DOS at the Fermi energy**: 2.7 states/eV/f.u.
**V**: 13.1 A^3/atom

***

2) An optimized crystal structure of TaBe2Pt, computed with PBE-GGA.

Cell lengths 2.8271, 2.8273, 6.2374 Å; angles 90.00, 90.00, 90.00 degrees
Atoms (fractional coordinates):
1 Be 0.0000 0.0000 0.0322
2 Be 0.0000 0.0000 0.4678
3 Pt 0.5000 0.5000 0.2500
4 Ta 0.5000 0.5000 0.7500

Calculated values
**Crystal system**: tetragonal
**DOS at the Fermi energy**: 1.8 states/eV/f.u.
**V**: 12.5 A^3/atom

***

3) An optimized crystal structure of TaBe2Pt, computed with PBE-GGA.

Cell lengths 4.1261, 4.1261, 4.1261 Å; angles 60.00, 60.00, 60.00 degrees
Site moments in Bohr magnetons follow the coordinates.
Atoms (fractional coordinates):
1 Be 0.2500 0.2500 0.2500  0.03
2 Be 0.7500 0.7500 0.7500  0.03
3 Pt 0.5000 0.5000 0.5000  0.17
4 Ta 0.0000 0.0000 0.0000  0.69

Calculated values
**Crystal system**: cubic
**DOS at the Fermi energy**: 3.4 states/eV/f.u.
**V**: 12.4 A^3/atom

***

4) An optimized crystal structure of TaBe2Pt, computed with PBE-GGA.

Cell lengths 4.5986, 4.5986, 4.5986 Å; angles 132.21, 132.21, 69.90 degrees
Atoms (fractional coordinates):
1 Be 0.0000 0.0000 0.0000
2 Be 0.2500 0.7500 0.5000
3 Pt 0.5000 0.5000 0.0000
4 Ta 0.7500 0.2500 0.5000

Calculated values
**Crystal system**: tetragonal
**DOS at the Fermi energy**: 1.6 states/eV/f.u.
**V**: 13.1 A^3/atom

***

Which one is most stable, and which one is least stable? 2) is the most stable of them, while 1) is the least stable.

***

1) An optimized crystal structure of TaBe2Pt, computed with PBE-GGA.

Cell lengths 3.6795, 3.0036, 4.6959 Å; angles 71.32, 90.00, 90.00 degrees
Atoms (fractional coordinates):
1 Be 0.0000 0.1870 0.0014
2 Be 0.5000 0.0558 0.2627
3 Pt 0.0000 0.4773 0.4202
4 Ta 0.5000 0.7799 0.8157

Calculated values
**Crystal system**: orthorhombic
**DOS at the Fermi energy**: 2.1 states/eV/f.u.
**V**: 12.3 A^3/atom

***

2) An optimized crystal structure of TaBe2Pt, computed with PBE-GGA.

Cell lengths 5.0470, 5.0470, 5.0470 Å; angles 148.95, 122.32, 66.96 degrees
Atoms (fractional coordinates):
1 Be 0.0186 0.0186 0.0000
2 Be 0.4814 0.4814 0.0000
3 Pt 0.2500 0.7500 0.5000
4 Ta 0.7500 0.2500 0.5000

Calculated values
**Crystal system**: orthorhombic
**DOS at the Fermi energy**: 1.8 states/eV/f.u.
**V**: 13.8 A^3/atom

***

3) An optimized crystal structure of TaBe2Pt, computed with PBE-GGA.

Cell lengths 4.2429, 4.2429, 4.2429 Å; angles 60.00, 60.00, 60.00 degrees
Atoms (fractional coordinates):
1 Be 0.0000 0.0000 0.0000
2 Be 0.2500 0.2500 0.2500
3 Pt 0.5000 0.5000 0.5000
4 Ta 0.7500 0.7500 0.7500

Calculated values
**Crystal system**: cubic
**DOS at the Fermi energy**: 2.8 states/eV/f.u.
**V**: 13.5 A^3/atom

***

Which one is most stable, and which one is least stable? 1) is the most stable of them, while 2) is the least stable.

***

1) An optimized crystal structure of TaBePt, computed with PBE-GGA.

Cell lengths 4.1945, 4.1945, 2.7845 Å; angles 90.00, 90.00, 120.00 degrees
Atoms (fractional coordinates):
1 Be 0.0000 0.0000 0.1662
2 Pt 0.6667 0.3333 0.1669
3 Ta 0.3333 0.6667 0.6669

Calculated values
**Crystal system**: hexagonal
**DOS at the Fermi energy**: 0.8 states/eV/f.u.
**V**: 14.1 A^3/atom

***

2) An optimized crystal structure of TaBePt, computed with PBE-GGA.

Cell lengths 3.5535, 7.2564, 6.3757 Å; angles 90.00, 90.00, 90.00 degrees
Atoms (fractional coordinates):
1 Ta 0.2500 0.8308 0.4789
2 Ta 0.7500 0.3308 0.0211
3 Ta 0.2500 0.6692 0.9789
4 Ta 0.7500 0.1692 0.5211
5 Be 0.7500 0.6260 0.2722
6 Be 0.7500 0.8740 0.7722
7 Be 0.2500 0.1260 0.2278
8 Be 0.2500 0.3740 0.7278
9 Pt 0.7500 0.9314 0.1518
10 Pt 0.7500 0.5686 0.6518
11 Pt 0.2500 0.0686 0.8482
12 Pt 0.2500 0.4314 0.3482

Calculated values
**Crystal system**: orthorhombic
**DOS at the Fermi energy**: 2.0 states/eV/f.u.
**V**: 13.7 A^3/atom

***

Which one is most stable, and which one is least stable? 2) is the most stable of them, while 1) is the least stable.